TiFe3Ni12 after structural relaxation, computed with GGA-PBE.

Cell lengths 3.5611, 3.5611, 14.2392 Å; angles 90.00, 90.00, 90.00 degrees
With the nearest neighbours (Å) after each atom.
Space group P4/mmm (No. 123)
Symmetry-distinct sites (fractional):
Ti  0.0000  0.0000  0.0000 x1  12 Ni 2.52-2.56
Fe  0.0000  0.0000  0.2530 x2  12 Ni 2.50-2.52
Fe  0.0000  0.0000  0.5000 x1  12 Ni 2.51-2.52
Ni  0.0000  0.5000  0.1287 x4  8 Ni 2.50-2.56, 2 Fe 2.51, 2 Ti 2.56
Ni  0.0000  0.5000  0.3761 x4  4 Fe 2.50-2.51, 8 Ni 2.51-2.52
Ni  0.5000  0.5000  0.0000 x1  4 Ti 2.52, 8 Ni 2.56
Ni  0.5000  0.5000  0.2519 x2  8 Ni 2.50-2.51, 4 Fe 2.52
Ni  0.5000  0.5000  0.5000 x1  8 Ni 2.51, 4 Fe 2.52

M_tot	14.4	Bohr magnetons per cell
energy	-0.4843	Ry/atom
formation energy	-17	kJ/mol of atoms
calculated density	8.46	g cm⁻³

=====

Ti6Fe5Ni after structural relaxation, computed with GGA-PBE.

Cell lengths 4.2018, 12.5777, 5.9005 Å; angles 90.00, 90.00, 90.00 degrees
With the nearest neighbours (Å) after each atom.
Space group Cmmm (No. 65)
Symmetry-distinct sites (fractional):
Ti  0.0000  0.0000  0.2472 x4  6 Fe 2.55-2.57, 2 Ni 2.58
Ti  0.0000  0.3320  0.2497 x8  7 Fe 2.55-2.58, 1 Ni 2.58
Fe  0.0000  0.1664  0.5000 x4  8 Ti 2.55-2.57
Fe  0.0000  0.1668  0.0000 x4  8 Ti 2.55-2.57
Fe  0.0000  0.5000  0.0000 x2  8 Ti 2.56-2.58
Ni  0.0000  0.5000  0.5000 x2  8 Ti 2.58

M_tot	0.0	Bohr magnetons per cell
energy	-0.6132	Ry/atom
formation energy	-37	kJ/mol of atoms
calculated density	6.66	g cm⁻³

=====

Ti2Fe2Ni15 after structural relaxation, computed with GGA-PBE.

Cell lengths 8.1110, 8.1110, 12.1962 Å; angles 90.00, 90.00, 120.00 degrees
With the nearest neighbours (Å) after each atom.
Space group R-3m (No. 166, hexagonal axes)
Symmetry-distinct sites (fractional):
Ti  0.0000  0.0000  0.1087 x6  6 Ni 2.45-2.52, 1 Ti 2.65
Fe  0.0000  0.0000  0.3763 x6  12 Ni 2.70-2.81, 1 Fe 3.02
Ni  0.0000  0.3196  0.0000 x18  8 Ni 2.41-2.59
Ni  0.0000  0.5000  0.5000 x9  8 Ni 2.37-2.41, 2 Ti 2.45
Ni  0.0085  0.5042  0.1606 x18  8 Ni 2.29-2.48, 1 Ti 2.52

M_tot	31.9	Bohr magnetons per cell
energy	-0.4590	Ry/atom
formation energy	4	kJ/mol of atoms
calculated density	7.80	g cm⁻³

=====

Ti5Fe4Ni after structural relaxation, computed with GGA-PBE.

Cell lengths 2.9436, 2.9436, 15.0478 Å; angles 90.00, 90.00, 90.00 degrees
With the nearest neighbours (Å) after each atom.
Space group P4/mmm (No. 123)
Symmetry-distinct sites (fractional):
Ti  0.0000  0.0000  0.0000 x1  8 Fe 2.56
Ti  0.0000  0.0000  0.1973 x2  8 Fe 2.56
Ti  0.0000  0.0000  0.3951 x2  4 Fe 2.55, 4 Ni 2.61
Fe  0.5000  0.5000  0.0988 x2  8 Ti 2.56
Fe  0.5000  0.5000  0.2968 x2  8 Ti 2.55-2.56
Ni  0.5000  0.5000  0.5000 x1  8 Ti 2.61

M_tot	0.0	Bohr magnetons per cell
energy	-0.6100	Ry/atom
formation energy	-38	kJ/mol of atoms
calculated density	6.64	g cm⁻³

=====

TiFe2Ni2 after structural relaxation, computed with GGA-PBE.

Cell lengths 6.9723, 6.9723, 2.5390 Å; angles 90.00, 90.00, 90.00 degrees
With the nearest neighbours (Å) after each atom.
Space group P4/mbm (No. 127)
Symmetry-distinct sites (fractional):
Ti  0.0000  0.0000  0.0000 x2  2 Ti 2.54, 4 Fe 2.78
Fe  0.1207  0.3793  0.0000 x4  3 Fe 2.38-2.54, 6 Ni 2.38-2.45
Ni  0.1748  0.6748  0.5000 x4  6 Fe 2.38-2.45, 2 Ni 2.54

M_tot	9.8	Bohr magnetons per cell
energy	-0.5372	Ry/atom
formation energy	-3	kJ/mol of atoms
calculated density	7.45	g cm⁻³
E above lowest polymorph	0.008	eV/atom

=====

TiFeNi6 after structural relaxation, computed with GGA-PBE.

Cell lengths 7.2005, 4.7026, 6.4432 Å; angles 90.00, 108.13, 90.00 degrees
With the nearest neighbours (Å) after each atom.
Space group C2/m (No. 12)
Symmetry-distinct sites (fractional):
Ti  0.0000  0.0000  0.0000 x2  10 Ni 2.46-2.70
Fe  0.0000  0.5000  0.5000 x2  6 Ni 2.36-2.48
Ni  0.1433  0.0000  0.4398 x4  5 Ni 2.42-2.50, 3 Fe 2.48-2.64, 1 Ti 2.70
Ni  0.2007  0.2412  0.7994 x8  5 Ni 2.27-2.50, 1 Fe 2.36, 2 Ti 2.46-2.49

M_tot	8.1	Bohr magnetons per cell
energy	-0.4605	Ry/atom
formation energy	11	kJ/mol of atoms
calculated density	7.30	g cm⁻³
E above lowest polymorph	0.375	eV/atom

=====

TmTiFeNi after structural relaxation, computed with GGA-PBE.

Cell lengths 6.2790, 6.2790, 6.2790 Å; angles 90.00, 90.00, 90.00 degrees
With the nearest neighbours (Å) after each atom.
Space group F-43m (No. 216)
Symmetry-distinct sites (fractional):
Tm  0.0000  0.0000  0.0000 x4  4 Ni 2.72, 4 Fe 2.72
Ti  0.0000  0.0000  0.5000 x4  4 Fe 2.72, 4 Ni 2.72
Fe  0.2500  0.2500  0.2500 x4  4 Tm 2.72, 4 Ti 2.72
Ni  0.2500  0.2500  0.7500 x4  4 Tm 2.72, 4 Ti 2.72

M_tot	0.0	Bohr magnetons per cell
energy	-0.5012	Ry/atom
formation energy	-16	kJ/mol of atoms
calculated density	8.89	g cm⁻³

=====

TiVFeNi2 after structural relaxation, computed with GGA-PBE.

Cell lengths 4.2722, 4.2722, 4.1075 Å; angles 90.00, 90.00, 90.00 degrees
With the nearest neighbours (Å) after each atom.
Space group P4/mmm (No. 123)
Symmetry-distinct sites (fractional):
Ti  0.0000  0.0000  0.0000 x1  2 Fe 2.05, 4 Ni 2.14
V  0.5000  0.5000  0.5000 x1  8 Ni 2.96, 4 Fe 3.02
Fe  0.0000  0.0000  0.5000 x1  2 Ti 2.05
Ni  0.0000  0.5000  0.0000 x2  2 Ti 2.14

M_tot	0.0	Bohr magnetons per cell
energy	-0.4628	Ry/atom
formation energy	107	kJ/mol of atoms
calculated density	6.03	g cm⁻³

=====

TiVFeNi after structural relaxation, computed with GGA-PBE.

Cell lengths 5.8825, 5.8825, 5.8825 Å; angles 90.00, 90.00, 90.00 degrees
With the nearest neighbours (Å) after each atom.
Space group F-43m (No. 216)
Symmetry-distinct sites (fractional):
Ti  0.0000  0.0000  0.0000 x4  4 Fe 2.55, 4 Ni 2.55
V  0.0000  0.0000  0.5000 x4  4 Fe 2.55, 4 Ni 2.55
Fe  0.2500  0.2500  0.7500 x4  4 Ti 2.55, 4 V 2.55
Ni  0.2500  0.2500  0.2500 x4  4 Ti 2.55, 4 V 2.55

M_tot	2.0	Bohr magnetons per cell
energy	-0.5883	Ry/atom
formation energy	-18	kJ/mol of atoms
calculated density	6.96	g cm⁻³

=====

YTi2FeNi after structural relaxation, computed with GGA-PBE.

Cell lengths 4.4953, 4.4953, 4.6089 Å; angles 90.00, 90.00, 90.00 degrees
With the nearest neighbours (Å) after each atom.
Space group P4/mmm (No. 123)
Symmetry-distinct sites (fractional):
Y  0.0000  0.0000  0.0000 x1  4 Fe 3.18, 8 Ti 3.22
Ti  0.0000  0.5000  0.5000 x2  2 Ni 2.25
Fe  0.5000  0.5000  0.0000 x1  2 Ni 2.30
Ni  0.5000  0.5000  0.5000 x1  4 Ti 2.25, 2 Fe 2.30

M_tot	0.0	Bohr magnetons per cell
energy	-0.5042	Ry/atom
formation energy	42	kJ/mol of atoms
calculated density	5.33	g cm⁻³

=====

TiZnFeNi after structural relaxation, computed with GGA-PBE.

Cell lengths 5.8398, 5.8398, 5.8398 Å; angles 90.00, 90.00, 90.00 degrees
With the nearest neighbours (Å) after each atom.
Space group F-43m (No. 216)
Symmetry-distinct sites (fractional):
Ti  0.0000  0.0000  0.0000 x4  4 Fe 2.53, 4 Ni 2.53
Zn  0.0000  0.0000  0.5000 x4  4 Fe 2.53, 4 Ni 2.53
Fe  0.2500  0.2500  0.2500 x4  4 Zn 2.53, 4 Ti 2.53
Ni  0.2500  0.2500  0.7500 x4  4 Zn 2.53, 4 Ti 2.53

M_tot	0.0	Bohr magnetons per cell
energy	-0.4492	Ry/atom
formation energy	-25	kJ/mol of atoms
calculated density	7.60	g cm⁻³

=====

ZrTiFeNi after structural relaxation, computed with GGA-PBE.

Cell lengths 6.1909, 6.1909, 6.1909 Å; angles 90.00, 90.00, 90.00 degrees
With the nearest neighbours (Å) after each atom.
Space group F-43m (No. 216)
Symmetry-distinct sites (fractional):
Zr  0.0000  0.0000  0.0000 x4  4 Ni 2.68, 4 Fe 2.68
Ti  0.0000  0.0000  0.5000 x4  4 Fe 2.68, 4 Ni 2.68
Fe  0.2500  0.2500  0.2500 x4  4 Zr 2.68, 4 Ti 2.68
Ni  0.2500  0.2500  0.7500 x4  4 Zr 2.68, 4 Ti 2.68

M_tot	0.0	Bohr magnetons per cell
energy	-0.5834	Ry/atom
formation energy	-26	kJ/mol of atoms
calculated density	7.10	g cm⁻³